The following is a PBE calculation of K2Au2I after structural relaxation, from the Alexandria database.

Summary:
magnetic moment = 0.00 μB per formula unit
E_tot = -2.53 eV per atom
relative energy among the computed polymorphs = 0 meV/atom

Cell: 6.434 6.434 8.747 Å, 90.00 90.00 90.00°
Fractional coordinates of all 10 atoms:
K (0.000, 0.500, 0.250)
K (0.000, 0.500, 0.750)
K (0.500, 0.000, 0.250)
K (0.500, 0.000, 0.750)
Au (0.000, 0.000, 0.153)
Au (0.000, 0.000, 0.847)
Au (0.500, 0.500, 0.347)
Au (0.500, 0.500, 0.653)
I (0.000, 0.000, 0.500)
I (0.500, 0.500, 0.000)